# 1
Entry from Alexandria: a crystal of Mo2WS6 relaxed with PBEsol (meta-GGA SCAN).

```
Mo2WS6
1.0
-0.8491 -0.5772 -2.9672
3.0227 -0.1778 0.8308
-2.3248 -19.0784 4.3763
S Mo W
6 2 1
direct
0.0000 0.0000 0.5739
0.6667 0.3333 0.4141
0.6667 0.3333 0.8927
0.6667 0.3333 0.0507
0.0000 0.0000 0.7319
0.6667 0.3333 0.2547
0.0000 0.0000 0.9718
0.6667 0.3333 0.6529
0.0000 0.0000 0.3344
```

Values from the calculation:
For the total magnetic moment, the calculation gives 0.000 μB per atom. For the formation energy (no corrections), the calculation gives -8.11 eV/f.u. The value obtained for the total DFT energy (no corrections) is -205.33 eV per cell.

=====

# 2
Entry from Alexandria: a crystal of MnCoAg2 relaxed with PBEsol (meta-GGA SCAN).

```
MnCoAg2
1.0
2.7932 0.0000 0.0000
-1.3966 4.5120 -0.1429
0.0000 -1.0822 4.5635
Ag Mn Co
2 1 1
direct
0.2399 0.4799 0.7370
0.0065 0.0129 0.0080
0.7679 0.5357 0.2654
0.4857 0.9714 0.4896
```

Values from the calculation:
For the total magnetic moment, the calculation gives 1.429 μB per atom. The energy of formation is 72 kJ/mol of formula units. The density of states at the Fermi level comes out at 0.37 states/eV/atom. The value obtained for the total DFT energy (no corrections) is -97.55 eV per cell.

=====

# 3
Entry from Alexandria: a crystal of Ba2MnIrPd relaxed with PBEsol (meta-GGA SCAN).

```
Ba2MnIrPd
1.0
4.7928 0.0000 0.0000
0.0000 5.9583 0.0000
0.0000 0.0000 5.9583
Pd Ba Mn Ir
1 2 1 1
direct
0.5000 0.0000 0.0000
0.0000 0.5000 0.0000
0.0000 0.0000 0.5000
0.5000 0.5000 0.5000
0.0000 0.0000 0.0000
```

Values from the calculation:
For the total magnetic moment, the calculation gives 0.979 μB per atom. The energy of formation is 156 kJ/mol of formula units. The density of states at the Fermi level comes out at 0.61 states/eV/atom. The value obtained for the total DFT energy (no corrections) is -199.61 eV per cell.